## TaRe2Ru (GGA-PBE)

Data for a geometry-optimized TaRe2Ru structure.

The value obtained for the energy above the most stable polymorph in this dataset is 0.0 meV/atom. As for the density of states at the Fermi level: 5.86 states/eV per cell. For the formation energy from the elements, the calculation gives -0.0310 eV/atom. The calculation puts the energy at -11.537 eV per atom.

It has space group C2/m (No. 12), with a = 9.405 Å, b = 2.802 Å, c = 4.775 Å, α = 90.00°, β = 99.73° and γ = 90.00°. The inequivalent atoms are Ta at (0.000, 0.000, 0.000), Re at (0.238, 0.000, 0.739) and Ru at (0.000, 0.500, 0.500).



## Ta3ReRu2 (GGA-PBE)

Data for a geometry-optimized Ta3ReRu2 structure.

The value obtained for the energy above the most stable polymorph in this dataset is 0.0 meV/atom. As for the density of states at the Fermi level: 4.94 states/eV per cell. For the formation energy from the elements, the calculation gives -0.3516 eV/atom. The calculation puts the energy at -11.445 eV per atom.

It has space group P4/mmm (No. 123), with a = 3.210 Å, b = 3.210 Å, c = 9.409 Å, α = 90.00°, β = 90.00° and γ = 90.00°. The inequivalent atoms are Ta at (0.000, 0.000, 0.000), Ta at (0.000, 0.000, 0.334), Re at (0.500, 0.500, 0.500) and Ru at (0.500, 0.500, 0.162).



## TaRe2Ru (GGA-PBE)

Data for a geometry-optimized TaRe2Ru structure.

The value obtained for the energy above the most stable polymorph in this dataset is 32.6 meV/atom. As for the density of states at the Fermi level: 4.46 states/eV per cell. For the formation energy from the elements, the calculation gives 0.0015 eV/atom. The calculation puts the energy at -11.505 eV per atom.

It has space group Pmm2 (No. 25), with a = 2.837 Å, b = 3.875 Å, c = 5.657 Å, α = 90.00°, β = 90.00° and γ = 90.00°. The inequivalent atoms are Ta at (0.000, 0.000, 0.000), Re at (0.000, 0.000, 0.501), Re at (0.500, 0.500, 0.276) and Ru at (0.500, 0.500, 0.754).



## TaReRu4 (GGA-PBE)

Data for a geometry-optimized TaReRu4 structure.

As for the density of states at the Fermi level: 28.68 states/eV per cell. For the formation energy from the elements, the calculation gives 0.2299 eV/atom. The calculation puts the energy at -10.004 eV per atom.

It has space group F-43m (No. 216), with a = 7.146 Å, b = 7.146 Å, c = 7.146 Å, α = 90.00°, β = 90.00° and γ = 90.00°. The inequivalent atoms are Ta at (0.000, 0.000, 0.000), Re at (0.250, 0.250, 0.250) and Ru at (0.124, 0.124, 0.624).



## TaRe2Ru (GGA-PBE)

Data for a geometry-optimized TaRe2Ru structure.

The value obtained for the energy above the most stable polymorph in this dataset is 153.6 meV/atom. As for the density of states at the Fermi level: 19.42 states/eV per cell. For the formation energy from the elements, the calculation gives 0.1225 eV/atom. The calculation puts the energy at -11.384 eV per atom.

It has space group R3m (No. 160, hexagonal axes), with a = 2.8004 Å, b = 2.8004 Å, c = 27.4870 Å, α = 90.00°, β = 90.00° and γ = 120.00°. The inequivalent atoms are Ta at (0.0000, 0.0000, 0.0000), Re at (0.0000, 0.0000, 0.2443), Re at (0.0000, 0.0000, 0.4985) and Ru at (0.0000, 0.0000, 0.7511).



## TaRe2Ru (GGA-PBE)

Data for a geometry-optimized TaRe2Ru structure.

The value obtained for the energy above the most stable polymorph in this dataset is 28.6 meV/atom. As for the density of states at the Fermi level: 3.83 states/eV per cell. For the formation energy from the elements, the calculation gives -0.0025 eV/atom. The calculation puts the energy at -11.509 eV per atom.

It has space group P2/m (No. 10), with a = 4.757 Å, b = 2.824 Å, c = 4.848 Å, α = 90.00°, β = 108.01° and γ = 90.00°. The inequivalent atoms are Ta at (0.000, 0.000, 0.000), Re at (0.000, 0.500, 0.500), Re at (0.500, 0.000, 0.500) and Ru at (0.500, 0.500, 0.000).



## Ta6Re5Ru (GGA-PBE)

Data for a geometry-optimized Ta6Re5Ru structure.

As for the density of states at the Fermi level: 5.15 states/eV per cell. For the formation energy from the elements, the calculation gives -0.4154 eV/atom. The calculation puts the energy at -12.301 eV per atom.

It has space group Immm (No. 71), with a = 4.524 Å, b = 6.398 Å, c = 13.558 Å, α = 90.00°, β = 90.00° and γ = 90.00°. The inequivalent atoms are Ta at (0.000, 0.248, 0.000), Ta at (0.000, 0.251, 0.333), Re at (0.000, 0.000, 0.167), Re at (0.000, 0.500, 0.166), Re at (0.000, 0.500, 0.500) and Ru at (0.000, 0.000, 0.500).



## TaRe2Ru (GGA-PBE)

Data for a geometry-optimized TaRe2Ru structure.

The value obtained for the energy above the most stable polymorph in this dataset is 33.6 meV/atom. As for the density of states at the Fermi level: 3.69 states/eV per cell. For the formation energy from the elements, the calculation gives 0.0026 eV/atom. The calculation puts the energy at -11.504 eV per atom.

It has space group P4mm (No. 99), with a = 2.800 Å, b = 2.800 Å, c = 7.948 Å, α = 90.00°, β = 90.00° and γ = 90.00°. The inequivalent atoms are Ta at (0.000, 0.000, 0.000), Re at (0.000, 0.000, 0.510), Re at (0.500, 0.500, 0.271) and Ru at (0.500, 0.500, 0.737).



## TaRe2Ru (GGA-PBE)

Data for a geometry-optimized TaRe2Ru structure.

The value obtained for the energy above the most stable polymorph in this dataset is 111.7 meV/atom. As for the density of states at the Fermi level: 24.41 states/eV per cell. For the formation energy from the elements, the calculation gives 0.0807 eV/atom. The calculation puts the energy at -11.426 eV per atom.

It has space group F-43m (No. 216), with a = 6.291 Å, b = 6.291 Å, c = 6.291 Å, α = 90.00°, β = 90.00° and γ = 90.00°. The inequivalent atoms are Ta at (0.000, 0.000, 0.000), Re at (0.000, 0.000, 0.500), Re at (0.250, 0.250, 0.250) and Ru at (0.250, 0.250, 0.750).



## TaRe2Ru (GGA-PBE)

Data for a geometry-optimized TaRe2Ru structure.

The value obtained for the energy above the most stable polymorph in this dataset is 48.8 meV/atom. As for the density of states at the Fermi level: 11.06 states/eV per cell. For the formation energy from the elements, the calculation gives 0.0178 eV/atom. The calculation puts the energy at -11.488 eV per atom.

It has space group I4/mmm (No. 139), with a = 3.875 Å, b = 3.875 Å, c = 8.275 Å, α = 90.00°, β = 90.00° and γ = 90.00°. The inequivalent atoms are Ta at (0.000, 0.000, 0.000), Re at (0.000, 0.500, 0.250) and Ru at (0.000, 0.000, 0.500).



## Ta3ReRu2 (GGA-PBE)

Data for a geometry-optimized Ta3ReRu2 structure.

The value obtained for the energy above the most stable polymorph in this dataset is 6.5 meV/atom. As for the density of states at the Fermi level: 11.61 states/eV per cell. For the formation energy from the elements, the calculation gives -0.3451 eV/atom. The calculation puts the energy at -11.438 eV per atom.

It has space group P2/m (No. 10), with a = 4.482 Å, b = 6.423 Å, c = 7.092 Å, α = 90.00°, β = 108.30° and γ = 90.00°. The inequivalent atoms are Ta at (0.000, 0.249, 0.000), Ta at (0.332, 0.247, 0.664), Re at (0.165, 0.000, 0.330), Ru at (0.165, 0.500, 0.330), Ru at (0.500, 0.000, 0.000) and Ru at (0.500, 0.500, 0.000).



## Ta4Re3Ru (GGA-PBE)

Data for a geometry-optimized Ta4Re3Ru structure.

As for the density of states at the Fermi level: 2.78 states/eV per cell. For the formation energy from the elements, the calculation gives -0.4058 eV/atom. The calculation puts the energy at -12.160 eV per atom.

It has space group Pmmm (No. 47), with a = 3.211 Å, b = 4.509 Å, c = 9.010 Å, α = 90.00°, β = 90.00° and γ = 90.00°. The inequivalent atoms are Ta at (0.000, 0.000, 0.000), Ta at (0.000, 0.000, 0.500), Ta at (0.000, 0.500, 0.248), Re at (0.500, 0.000, 0.253), Re at (0.500, 0.500, 0.000) and Ru at (0.500, 0.500, 0.500).